Below is an optimized crystal structure of LiHBr, with properties calculated at the GGA-PBEsol level.

Cell: 4.259 4.264 8.367 Å, 102.90 91.68 119.31°
Fractional coordinates of all 6 atoms:
Li  0.120  0.249  0.366
Li  0.880  0.751  0.634
H  0.082  0.092  0.998
H  0.918  0.908  0.002
Br  0.235  0.448  0.688
Br  0.765  0.552  0.312

- Calculated volume: 21.24 Å³ per atom
- E: -3.37 eV/atom